No. 1
TbCuI: relaxed, PBE.

Cell: 4.230 3.950 10.395 Å, 79.05 90.00 90.00°
Atoms (fractional coordinates):
Tb 0.750 0.072 0.856
Tb 0.250 0.928 0.144
I 0.250 0.662 0.675
I 0.750 0.338 0.325
Cu 0.750 0.471 0.057
Cu 0.250 0.529 0.943

## Properties
DOS at the Fermi energy in states/eV/atom: 0.57
E in eV per atom: -4.078

No. 2
YTmMg: relaxed, PBE.

Cell: 3.644 3.644 6.959 Å, 105.18 105.18 90.00°
Last column: magnetic moment on the atom in μB.
Atoms (fractional coordinates):
Tm 0.325 0.325 0.650  0.23
Mg 0.668 0.668 0.336  0.00
Y 0.007 0.007 0.014  0.15

## Properties
E above lowest polymorph in eV per atom: 0.000
E_form in meV per atom: -39.4
DOS at the Fermi energy in states/eV/atom: 1.48
E in eV per atom: -4.216

No. 3
PmInNiGe: relaxed, PBE.

Cell: 4.873 4.873 4.873 Å, 60.00 60.00 60.00°
Atoms (fractional coordinates):
Pm 0.000 0.000 0.000
Ni 0.250 0.250 0.250
Ge 0.750 0.750 0.750
In 0.500 0.500 0.500

## Properties
E_form in meV per atom: -258.1
DOS at the Fermi energy in states/eV/atom: 0.59
E in eV per atom: -4.730

No. 4
Tb12Ce2Dy5: relaxed, PBE.

Cell: 9.166 12.214 8.621 Å, 132.55 90.00 112.04°
Last column: magnetic moment on the atom in μB.
Atoms (fractional coordinates):
Tb 0.825 0.265 0.577  0.00
Tb 0.440 0.881 0.225  0.01
Tb 0.966 0.291 0.053  0.01
Tb 0.675 0.709 0.947  0.01
Tb 0.560 0.119 0.775  0.01
Tb 0.440 0.265 0.577  0.00
Tb 0.325 0.291 0.053  0.01
Tb 0.175 0.735 0.423  0.00
Tb 0.560 0.735 0.423  0.00
Tb 0.034 0.709 0.947  0.01
Tb 0.932 0.864 0.738  -0.01
Tb 0.068 0.136 0.262  -0.01
Dy 0.000 0.000 0.500  0.00
Dy 0.769 0.538 0.103  -0.01
Dy 0.714 0.428 0.387  0.01
Dy 0.286 0.572 0.613  0.01
Dy 0.231 0.462 0.897  -0.01
Ce 0.649 0.000 0.000  0.44
Ce 0.351 0.000 0.000  0.44

## Properties
E_form in meV per atom: 139.7
DOS at the Fermi energy in states/eV/atom: 1.59
E in eV per atom: -4.620

No. 5
Al5Zn3: relaxed, PBE.

Cell: 2.857 2.857 15.675 Å, 90.00 90.00 90.00°
Atoms (fractional coordinates):
Al 0.500 0.500 0.500
Al 0.000 0.000 0.625
Al 0.500 0.500 0.244
Al 0.500 0.500 0.756
Al 0.000 0.000 0.375
Zn 0.000 0.000 0.120
Zn 0.500 0.500 0.000
Zn 0.000 0.000 0.880

## Properties
E above lowest polymorph in eV per atom: 0.000
E_form in meV per atom: 16.2
DOS at the Fermi energy in states/eV/atom: 0.33
E in eV per atom: -2.801

No. 6
Ca3InSn12: relaxed, PBE.

Cell: 4.721 4.721 19.501 Å, 90.00 90.00 90.00°
Atoms (fractional coordinates):
In 0.000 0.000 0.000
Sn 0.500 0.000 0.873
Sn 0.500 0.500 0.750
Sn 0.500 0.500 0.250
Sn 0.500 0.000 0.376
Sn 0.500 0.500 0.500
Sn 0.000 0.500 0.873
Sn 0.500 0.000 0.127
Sn 0.500 0.000 0.624
Sn 0.000 0.500 0.127
Sn 0.500 0.500 0.000
Sn 0.000 0.500 0.376
Sn 0.000 0.500 0.624
Ca 0.000 0.000 0.744
Ca 0.000 0.000 0.256
Ca 0.000 0.000 0.500

## Properties
E_form in meV per atom: -260.5
DOS at the Fermi energy in states/eV/atom: 0.55
E in eV per atom: -3.809

No. 7
Y2SnTe: relaxed, PBE.

Cell: 4.356 4.356 7.896 Å, 73.99 73.99 60.00°
Atoms (fractional coordinates):
Y 0.077 0.077 0.769
Y 0.257 0.257 0.230
Te 0.498 0.498 0.505
Sn 0.668 0.668 0.996

## Properties
E above lowest polymorph in eV per atom: 0.103
DOS at the Fermi energy in states/eV/atom: 0.47
E in eV per atom: -6.009

No. 8
Ta2HgGeAu: relaxed, PBE.

Cell: 4.804 4.852 4.804 Å, 90.00 90.00 90.00°
Atoms (fractional coordinates):
Ta 0.000 0.000 0.500
Ta 0.500 0.000 0.000
Hg 0.000 0.500 0.000
Ge 0.000 0.000 0.000
Au 0.500 0.500 0.500

## Properties
E_form in meV per atom: 1192.0
DOS at the Fermi energy in states/eV/atom: 2.06
E in eV per atom: -5.188

No. 9
Pr4PHI2: relaxed, PBE.

Cell: 4.048 7.223 8.049 Å, 105.32 90.00 90.00°
Atoms (fractional coordinates):
P 0.500 0.500 0.000
H 0.000 0.000 0.000
Pr 0.500 0.782 0.811
Pr 0.500 0.218 0.189
Pr 0.000 0.747 0.184
Pr 0.000 0.253 0.816
I 0.500 0.000 0.500
I 0.000 0.500 0.500

## Properties
DOS at the Fermi energy in states/eV/atom: 0.62
E in eV per atom: -4.796

No. 10
LaDyCuRh: relaxed, PBE.

Cell: 5.009 5.009 5.009 Å, 60.00 60.00 60.00°
Atoms (fractional coordinates):
La 0.500 0.500 0.500
Cu 0.250 0.250 0.250
Dy 0.000 0.000 0.000
Rh 0.750 0.750 0.750

## Properties
E above lowest polymorph in eV per atom: 0.053
E_form in meV per atom: -469.8
DOS at the Fermi energy in states/eV/atom: 0.91
E in eV per atom: -5.714

No. 11
HoTm2Rh2: relaxed, PBE.

Cell: 4.729 4.729 5.943 Å, 90.01 90.01 60.00°
Atoms (fractional coordinates):
Tm 0.167 0.667 0.336
Tm 0.833 0.333 0.664
Rh 0.833 0.333 0.169
Rh 0.167 0.667 0.831
Ho 0.500 0.000 0.000

## Properties
E above lowest polymorph in eV per atom: 0.000
E_form in meV per atom: -776.4
DOS at the Fermi energy in states/eV/atom: 0.65
E in eV per atom: -6.421

No. 12
MgRuRh2: relaxed, PBE.

Cell: 2.772 3.886 5.473 Å, 90.00 90.00 90.00°
Atoms (fractional coordinates):
Ru 0.000 0.000 0.479
Rh 0.500 0.500 0.267
Rh 0.000 0.000 0.992
Mg 0.500 0.500 0.761

## Properties
E_form in meV per atom: -30.2
DOS at the Fermi energy in states/eV/atom: 1.62
E in eV per atom: -6.424

No. 13
Cs2RhI6O: relaxed, PBE.

Cell: 7.446 7.446 8.474 Å, 63.94 63.94 90.00°
Atoms (fractional coordinates):
Cs 0.750 0.250 0.500
Cs 0.250 0.750 0.500
I 0.264 0.736 0.000
I 0.736 0.736 0.000
I 0.798 0.798 0.404
I 0.736 0.264 0.000
I 0.264 0.264 0.000
I 0.202 0.202 0.596
O 0.500 0.500 0.000
Rh 0.000 0.000 0.000

## Properties
DOS at the Fermi energy in states/eV/atom: 0.67
E in eV per atom: -2.861

No. 14
CrReTcGe: relaxed, PBE.

Cell: 4.286 4.286 4.286 Å, 60.00 60.00 60.00°
Last column: magnetic moment on the atom in μB.
Atoms (fractional coordinates):
Cr 0.750 0.750 0.750  1.36
Re 0.500 0.500 0.500  -0.21
Tc 0.000 0.000 0.000  -0.19
Ge 0.250 0.250 0.250  0.01

## Properties
E_form in meV per atom: 53.0
DOS at the Fermi energy in states/eV/atom: 1.14
E in eV per atom: -9.211

No. 15
CoReAu2: relaxed, PBE.

Cell: 4.839 4.839 4.839 Å, 131.88 131.88 70.42°
Last column: magnetic moment on the atom in μB.
Atoms (fractional coordinates):
Co 0.250 0.750 0.500  1.43
Au 0.000 0.000 0.000  0.01
Au 0.500 0.500 0.000  0.01
Re 0.750 0.250 0.500  0.31

## Properties
E above lowest polymorph in eV per atom: 0.422
E_form in meV per atom: 619.5
DOS at the Fermi energy in states/eV/atom: 1.36
E in eV per atom: -5.908

No. 16
Na3Hf3FeS8: relaxed, PBE.

Cell: 7.154 7.154 8.041 Å, 116.42 90.00 120.00°
Atoms (fractional coordinates):
S 0.225 0.450 0.705
S 0.755 0.980 0.705
S 0.775 0.550 0.295
S 0.225 0.980 0.705
S 0.245 0.020 0.295
S 0.740 0.480 0.720
S 0.775 0.020 0.295
S 0.260 0.520 0.280
Hf 0.500 0.000 0.500
Hf 0.500 0.500 0.500
Hf 0.000 0.500 0.500
Na 0.000 0.500 0.000
Na 0.500 0.500 0.000
Na 0.000 0.000 0.000
Fe 0.000 0.000 0.500

## Properties
DOS at the Fermi energy in states/eV/atom: 0.28
E in eV per atom: -6.311